[1]
# La2BeAl4Pt3

A relaxed La2BeAl4Pt3 crystal (PBE, Alexandria).

Properties
N(E_F): 0.74 states/eV/atom
Energy of formation from the pure elements: -915 meV per atom
E: -0.2052 hartree per atom
Calculated volume: 19.41 Å³/atom
Magnetization: 0.0 μB per cell

a b c (Å): 4.2999 4.2999 10.4984
angles (deg): 90.00 90.00 90.00
Closest atoms and distances in Å follow each position.
Sites, in units of the cell vectors:
La  0.0000  0.5000  0.2448  8 Al 3.30-3.44, 6 Pt 3.30-3.35, 2 Be 3.35
La  0.5000  0.0000  0.7552  8 Al 3.30-3.44, 6 Pt 3.30-3.35, 2 Be 3.35
Be  0.5000  0.5000  0.0000  4 Al 2.51
Al  0.0000  0.0000  0.5000  4 Pt 2.56
Al  0.0000  0.5000  0.8764  2 Be 2.51, 3 Pt 2.51-2.56
Al  0.5000  0.0000  0.1236  2 Be 2.51, 3 Pt 2.51-2.56
Al  0.5000  0.5000  0.5000  4 Pt 2.56
Pt  0.0000  0.0000  0.0000  4 Al 2.51
Pt  0.0000  0.5000  0.6328  5 Al 2.56
Pt  0.5000  0.0000  0.3672  5 Al 2.56

[2]
# La3Be2AlPt9

A relaxed La3Be2AlPt9 crystal (PBE, Alexandria).

Properties
N(E_F): 0.24 states/eV/atom
Energy of formation from the pure elements: -905 meV per atom
E: -0.2301 hartree per atom
Calculated volume: 18.92 Å³/atom
Magnetization: 0.0 μB per cell

a b c (Å): 5.8958 5.8958 9.4276
angles (deg): 90.00 90.00 120.00
Closest atoms and distances in Å follow each position.
Sites, in units of the cell vectors:
La  0.0000  0.0000  0.0000  6 Pt 2.95
La  0.3333  0.6667  0.6407  6 Pt 3.00
La  0.6667  0.3333  0.3593  6 Pt 3.00
Be  0.3333  0.6667  0.1535  6 Pt 2.22-2.23
Be  0.6667  0.3333  0.8465  6 Pt 2.22-2.23
Al  0.0000  0.0000  0.5000  6 Pt 2.51
Pt  0.0000  0.5000  0.0000  2 Be 2.23
Pt  0.1641  0.3282  0.3020  1 Be 2.22
Pt  0.1641  0.8359  0.3020  1 Be 2.22
Pt  0.3282  0.1641  0.6980  1 Be 2.22
Pt  0.5000  0.0000  0.0000  2 Be 2.23
Pt  0.5000  0.5000  0.0000  2 Be 2.23
Pt  0.6718  0.8359  0.3020  1 Be 2.22
Pt  0.8359  0.1641  0.6980  1 Be 2.22
Pt  0.8359  0.6718  0.6980  1 Be 2.22

[3]
# LaBeAlPt6

A relaxed LaBeAlPt6 crystal (PBE, Alexandria).

Properties
N(E_F): 0.49 states/eV/atom
Energy of formation from the pure elements: -577 meV per atom
E: -0.2198 hartree per atom
Calculated volume: 18.97 Å³/atom
Magnetization: 0.0 μB per cell

a b c (Å): 7.8750 7.8750 7.8750
angles (deg): 123.64 117.29 89.29
Closest atoms and distances in Å follow each position.
Sites, in units of the cell vectors:
La  0.4089  0.1589  0.2500  6 Pt 2.83-2.98
La  0.5911  0.8411  0.7500  6 Pt 2.83-2.98
Be  0.0000  0.5000  0.5000  6 Pt 2.26-2.28
Be  0.5000  0.5000  0.0000  6 Pt 2.26-2.28
Al  0.0000  0.0000  0.5000  6 Pt 2.45-2.46
Al  0.0000  0.5000  0.0000  6 Pt 2.45-2.46
Pt  0.1147  0.3792  0.2510  1 Be 2.26, 1 Al 2.46
Pt  0.1147  0.8637  0.7355  1 Be 2.26, 1 Al 2.46
Pt  0.1428  0.8928  0.2500  2 Al 2.45
Pt  0.3384  0.5884  0.7500  2 Be 2.28
Pt  0.3718  0.1363  0.7510  1 Be 2.26, 1 Al 2.46
Pt  0.3718  0.6208  0.2355  1 Be 2.26, 1 Al 2.46
Pt  0.6282  0.3792  0.7645  1 Be 2.26, 1 Al 2.46
Pt  0.6282  0.8637  0.2490  1 Be 2.26, 1 Al 2.46
Pt  0.6616  0.4116  0.2500  2 Be 2.28
Pt  0.8572  0.1072  0.7500  2 Al 2.45
Pt  0.8853  0.1363  0.2645  1 Be 2.26, 1 Al 2.46
Pt  0.8853  0.6208  0.7490  1 Be 2.26, 1 Al 2.46